Computed, not measured: an optimized crystal structure of CaTb4Er at the GGA-PBE level of DFT.

abc: 3.6235 6.3170 17.4242
angles: 96.88 90.00 90.00
With the nearest neighbours (Å) after each atom.
Fractional positions:
Tb 0.0012 0.3928 0.1679  9 Tb 3.48-3.69, 2 Er 3.57-3.58, 1 Ca 3.60
Tb 0.9988 0.6072 0.8321  9 Tb 3.48-3.69, 2 Er 3.57-3.58, 1 Ca 3.60
Tb 0.0013 0.1141 0.3282  9 Tb 3.44-3.69, 1 Er 3.63, 2 Ca 3.64-3.65
Tb 0.5013 0.8859 0.1718  9 Tb 3.44-3.69, 1 Er 3.63, 2 Ca 3.64-3.65
Tb 0.5012 0.6072 0.3321  9 Tb 3.48-3.69, 2 Er 3.57-3.58, 1 Ca 3.60
Tb 0.4988 0.3928 0.6679  9 Tb 3.48-3.69, 2 Er 3.57-3.58, 1 Ca 3.60
Tb 0.4987 0.1141 0.8282  9 Tb 3.44-3.69, 1 Er 3.63, 2 Ca 3.64-3.65
Tb 0.9987 0.8859 0.6718  9 Tb 3.44-3.69, 1 Er 3.63, 2 Ca 3.64-3.65
Er 0.5000 0.5000 0.0000  6 Tb 3.57-3.63, 2 Er 3.62, 4 Ca 3.64
Er 0.0000 0.5000 0.5000  6 Tb 3.57-3.63, 2 Er 3.62, 4 Ca 3.64
Ca 0.5000 0.0000 0.5000  6 Tb 3.60-3.65, 2 Ca 3.62, 4 Er 3.64
Ca 0.0000 0.0000 0.0000  6 Tb 3.60-3.65, 2 Ca 3.62, 4 Er 3.64

Its energy relative to the elements is 0.4 eV per formula unit. The space-group type is C2/m (12). The calculation puts the volume at 198.0 Å³/f.u.

---

Computed, not measured: an optimized crystal structure of InTeAs2H at the GGA-PBE level of DFT.

abc: 5.5342 3.7343 5.5342
angles: 90.00 90.00 90.00
With the nearest neighbours (Å) after each atom.
Fractional positions:
As 0.5000 0.0000 0.0000  2 Te 2.77
As 0.0000 0.0000 0.5000  2 Te 2.77
In 0.5000 0.5000 0.5000  8 As 3.34, 2 In 3.73
Te 0.0000 0.0000 0.0000  2 H 1.87
H 0.0000 0.5000 0.0000  2 Te 1.87

Its raw total energy is -3.291 eV/atom. The space-group type is P4/mmm (123). The calculation puts the volume at 114.4 Å³/f.u.

---

Computed, not measured: an optimized crystal structure of Ac2ZnInPt at the GGA-PBE level of DFT.

abc: 4.7744 7.7229 8.2112
angles: 108.62 90.00 90.00
With the nearest neighbours (Å) after each atom.
Fractional positions:
Ac 0.2500 0.1386 0.3405  3 Pt 3.16-3.40, 3 Zn 3.38-3.54, 2 In 3.49
Ac 0.7500 0.7103 0.0547  3 Pt 3.08-3.11
Ac 0.7500 0.8614 0.6595  3 Pt 3.16-3.40, 3 Zn 3.38-3.54, 2 In 3.49
Ac 0.2500 0.2897 0.9453  3 Pt 3.08-3.11
In 0.7500 0.3482 0.6504  3 Zn 2.86-3.01
In 0.2500 0.6518 0.3496  3 Zn 2.86-3.01
Zn 0.2500 0.5591 0.6791  1 Pt 2.64, 2 In 2.86
Zn 0.7500 0.4409 0.3209  1 Pt 2.64, 2 In 2.86
Pt 0.2500 0.8827 0.9181  1 Zn 2.64
Pt 0.7500 0.1173 0.0819  1 Zn 2.64

Its energy relative to the elements is -3.3 eV per formula unit. The space-group type is P2_1/m (11). The calculation puts the volume at 143.5 Å³/f.u.

---

Computed, not measured: an optimized crystal structure of Ca2TcAsO at the GGA-PBE level of DFT.

abc: 5.3973 4.5716 5.3973
angles: 90.00 90.00 90.00
With the nearest neighbours (Å) after each atom.
Fractional positions:
Tc 0.0000 0.0000 0.0000  2 As 2.29
As 0.0000 0.5000 0.0000  2 Tc 2.29
Ca 0.0000 0.0000 0.5000  2 Tc 2.70
Ca 0.5000 0.0000 0.0000  2 Tc 2.70
O 0.5000 0.5000 0.5000  8 Ca 3.54, 4 As 3.82

The uncorrected formation energy is 0.418 eV/f.u. The space-group type is P4/mmm (123). The calculation puts the volume at 133.2 Å³/f.u.

---

Computed, not measured: an optimized crystal structure of YFe2Ir at the GGA-PBE level of DFT.

abc: 4.4714 4.4714 4.4714
angles: 60.00 60.00 60.00
With the nearest neighbours (Å) after each atom.
Fractional positions:
Y 0.0000 0.0000 0.0000  8 Fe 2.74
Fe 0.2500 0.2500 0.2500  4 Ir 2.74, 4 Y 2.74
Fe 0.7500 0.7500 0.7500  4 Ir 2.74, 4 Y 2.74
Ir 0.5000 0.5000 0.5000  8 Fe 2.74

Its energy relative to the elements is 0.0 eV per formula unit. The space-group type is Fm-3m (225). The calculation puts the volume at 63.2 Å³/f.u.

---

Computed, not measured: an optimized crystal structure of Mn4CrRe at the GGA-PBE level of DFT.

abc: 4.6265 4.6265 4.6265
angles: 60.00 60.00 60.00
With the nearest neighbours (Å) after each atom.
Fractional positions:
Mn 0.6260 0.6260 0.6260  6 Mn 2.29-2.33
Mn 0.6260 0.1219 0.6260  6 Mn 2.29-2.33
Mn 0.1219 0.6260 0.6260  6 Mn 2.29-2.33
Mn 0.6260 0.6260 0.1219  6 Mn 2.29-2.33
Re 0.2500 0.2500 0.2500  12 Mn 2.71, 4 Cr 2.83
Cr 0.0000 0.0000 0.0000  12 Mn 2.71, 4 Re 2.83

Its energy relative to the elements is 0.0 eV per formula unit. The space-group type is F-43m (216). The calculation puts the volume at 70.0 Å³/f.u.

---

Computed, not measured: an optimized crystal structure of Pr8Al2Bi at the GGA-PBE level of DFT.

abc: 5.0666 8.1975 9.2475
angles: 109.46 105.90 90.00
With the nearest neighbours (Å) after each atom.
Fractional positions:
Pr 0.3953 0.5426 0.7906  2 Al 3.30, 5 Pr 3.46-3.61, 1 Bi 3.56
Pr 0.0439 0.7371 0.0878  1 Al 3.23, 4 Pr 3.43-3.61, 2 Bi 3.58
Pr 0.6047 0.4574 0.2094  2 Al 3.30, 5 Pr 3.46-3.61, 1 Bi 3.56
Pr 0.1679 0.2479 0.3358  3 Al 3.22-3.29, 3 Pr 3.46-3.55
Pr 0.3246 0.0733 0.6492  3 Al 3.20-3.49, 1 Bi 3.38, 5 Pr 3.43-3.56
Pr 0.9561 0.2629 0.9122  1 Al 3.23, 4 Pr 3.43-3.61, 2 Bi 3.58
Pr 0.8321 0.7521 0.6642  3 Al 3.22-3.29, 3 Pr 3.46-3.55
Pr 0.6754 0.9267 0.3508  3 Al 3.20-3.49, 1 Bi 3.38, 5 Pr 3.43-3.56
Al 0.2128 0.6722 0.4257  9 Pr 3.20-3.49
Al 0.7872 0.3278 0.5743  9 Pr 3.20-3.49
Bi 0.5000 0.0000 0.0000  8 Pr 3.38-3.58

Its energy relative to the elements is -2.8 eV per formula unit. The space-group type is C2/m (12). The calculation puts the volume at 346.5 Å³/f.u.

---

Computed, not measured: an optimized crystal structure of Ca2ScInTc at the GGA-PBE level of DFT.

abc: 5.7365 5.4529 5.7365
angles: 90.00 90.00 90.00
With the nearest neighbours (Å) after each atom.
Fractional positions:
In 0.0000 0.0000 0.0000  2 Sc 2.73, 4 Ca 2.87
Ca 0.0000 0.0000 0.5000  2 In 2.87
Ca 0.5000 0.0000 0.0000  2 In 2.87
Tc 0.5000 0.5000 0.5000  8 Ca 3.96, 4 Sc 4.06
Sc 0.0000 0.5000 0.0000  2 In 2.73

Its energy relative to the elements is 5.2 eV per formula unit. The space-group type is P4/mmm (123). The calculation puts the volume at 179.4 Å³/f.u.